1.
A relaxed structure of K2TiAlCr. Source: Alexandria via LeMat-Bulk, functional PBE.

The formation energy is 1368 meV/atom. The calculation puts the calculated volume at 208 Å³/cell. The calculation puts the density of states at the Fermi level at 1.262 states/eV per atom. Its spin magnetization is 7.22 μB per cell. The value obtained for the energy is -16.62 eV per cell.

a = 6.4287 Å, b = 6.4287 Å, c = 5.0405 Å
α = 90.00°, β = 90.00°, γ = 90.00°
Space group P4/mmm (No. 123)
Symmetry-distinct sites (fractional):
K 0.0000 0.5000 0.0000
Ti 0.0000 0.0000 0.5000
Al 0.5000 0.5000 0.0000
Cr 0.5000 0.5000 0.5000

2.
A relaxed structure of BaCa2LaNi. Source: Alexandria via LeMat-Bulk, functional PBE.

The formation energy is -79 meV/atom. The calculation puts the calculated volume at 187 Å³/cell. The calculation puts the density of states at the Fermi level at 0.825 states/eV per atom. Its spin magnetization is 0.00 μB per cell. The value obtained for the energy is -17.03 eV per cell.

a = 5.8831 Å, b = 5.8831 Å, c = 5.3979 Å
α = 90.00°, β = 90.00°, γ = 90.00°
Space group P4/mmm (No. 123)
Symmetry-distinct sites (fractional):
Ba 0.0000 0.0000 0.0000
Ca 0.0000 0.5000 0.5000
La 0.5000 0.5000 0.0000
Ni 0.5000 0.5000 0.5000

3.
A relaxed structure of Rb2MoSBr6. Source: Alexandria via LeMat-Bulk, functional PBE.

The uncorrected formation energy comes out at -7.14 eV/f.u. The calculation puts the calculated volume at 722 Å³/cell. The calculation puts the density of states at the Fermi level at 0.755 states/eV per atom. Its spin magnetization is 4.00 μB per cell. The value obtained for the energy is -68.13 eV per cell.

a = 8.4848 Å, b = 8.4848 Å, c = 10.0266 Å
α = 90.00°, β = 90.00°, γ = 90.00°
Space group I4/mmm (No. 139)
Symmetry-distinct sites (fractional):
Rb 0.0000 0.5000 0.2500
Mo 0.0000 0.0000 0.0000
S 0.0000 0.0000 0.5000
Br 0.0000 0.0000 0.2579
Br 0.2158 0.2158 0.0000

4.
A relaxed structure of RbGe3C. Source: Alexandria via LeMat-Bulk, functional PBE.

The formation energy is 1102 meV/atom. As for the distance to the lowest polymorph of the same formula: 0 meV per atom. The calculation puts the calculated volume at 108 Å³/cell. The calculation puts the density of states at the Fermi level at 0.989 states/eV per atom. Its spin magnetization is 0.03 μB per cell. The value obtained for the energy is -18.53 eV per cell.

a = 4.7600 Å, b = 4.7600 Å, c = 4.7600 Å
α = 90.00°, β = 90.00°, γ = 90.00°
Space group Pm-3m (No. 221)
Symmetry-distinct sites (fractional):
Rb 0.0000 0.0000 0.0000
Ge 0.0000 0.5000 0.5000
C 0.5000 0.5000 0.5000

5.
A relaxed structure of Rb2FePbI6. Source: Alexandria via LeMat-Bulk, functional PBE.

The uncorrected formation energy comes out at -6.25 eV/f.u. The calculation puts the calculated volume at 1625 Å³/cell. The calculation puts the density of states at the Fermi level at 0.031 states/eV per atom. Its spin magnetization is 0.00 μB per cell. The value obtained for the energy is -118.64 eV per cell.

a = 11.7555 Å, b = 11.7555 Å, c = 11.7555 Å
α = 90.00°, β = 90.00°, γ = 90.00°
Space group Fm-3m (No. 225)
Symmetry-distinct sites (fractional):
Rb 0.2500 0.2500 0.2500
Fe 0.0000 0.0000 0.0000
Pb 0.0000 0.0000 0.5000
I 0.0000 0.0000 0.2290

6.
A relaxed structure of PmHoMnIn. Source: Alexandria via LeMat-Bulk, functional PBE.

The formation energy is -83 meV/atom. The calculation puts the calculated volume at 410 Å³/cell. The calculation puts the density of states at the Fermi level at 1.150 states/eV per atom. Its spin magnetization is 13.42 μB per cell. The value obtained for the energy is -86.27 eV per cell.

a = 7.4311 Å, b = 7.4311 Å, c = 7.4311 Å
α = 90.00°, β = 90.00°, γ = 90.00°
Space group F-43m (No. 216)
Symmetry-distinct sites (fractional):
Pm 0.0000 0.0000 0.0000
Ho 0.0000 0.0000 0.5000
Mn 0.2500 0.2500 0.2500
In 0.2500 0.2500 0.7500

7.
A relaxed structure of PmPuSnGe. Source: Alexandria via LeMat-Bulk, functional PBE.

The formation energy is -412 meV/atom. The calculation puts the calculated volume at 414 Å³/cell. The calculation puts the density of states at the Fermi level at 2.576 states/eV per atom. Its spin magnetization is 23.80 μB per cell. The value obtained for the energy is -117.41 eV per cell.

a = 7.4530 Å, b = 7.4530 Å, c = 7.4530 Å
α = 90.00°, β = 90.00°, γ = 90.00°
Space group F-43m (No. 216)
Symmetry-distinct sites (fractional):
Pm 0.0000 0.0000 0.0000
Pu 0.0000 0.0000 0.5000
Sn 0.2500 0.2500 0.7500
Ge 0.2500 0.2500 0.2500

> Among the records above, which one has the highest energy?

K2TiAlCr

> What is the formula in the fifth record?

Rb2FePbI6

> Number 4 is which compound?

RbGe3C